Ga2FeCo after structural relaxation, computed with GGA-PBE.

Cell: 2.7534 2.7534 23.6438 Å, 90.00 90.00 120.00°
Last column: nearest neighbours and their distance in Å.
Atoms (fractional coordinates):
Ga (0.0000, 0.0000, 0.0000)  3 Co 2.49, 3 Fe 2.59, 6 Ga 2.75
Ga (0.0000, 0.0000, 0.1719)  3 Co 2.48, 3 Fe 2.57, 6 Ga 2.75
Ga (0.3333, 0.6667, 0.6667)  3 Co 2.49, 3 Fe 2.59, 6 Ga 2.75
Ga (0.3333, 0.6667, 0.8386)  3 Co 2.48, 3 Fe 2.57, 6 Ga 2.75
Ga (0.6667, 0.3333, 0.3333)  3 Co 2.49, 3 Fe 2.59, 6 Ga 2.75
Ga (0.6667, 0.3333, 0.5052)  3 Co 2.48, 3 Fe 2.57, 6 Ga 2.75
Fe (0.0000, 0.0000, 0.4196)  6 Ga 2.57-2.59, 6 Fe 2.75
Fe (0.3333, 0.6667, 0.0863)  6 Ga 2.57-2.59, 6 Fe 2.75
Fe (0.6667, 0.3333, 0.7529)  6 Ga 2.57-2.59, 6 Fe 2.75
Co (0.0000, 0.0000, 0.5858)  6 Ga 2.48-2.49, 6 Co 2.75
Co (0.3333, 0.6667, 0.2524)  6 Ga 2.48-2.49, 6 Co 2.75
Co (0.6667, 0.3333, 0.9191)  6 Ga 2.48-2.49, 6 Co 2.75

Summary:
Space group: R3m, No. 160
Density: 8.158 g/cm³
DFT formation energy: -79 meV/atom
Energy: -21.939 eV per formula unit
Magnetic moment: 2.8 μB per formula unit
Fermi-level density of states: 9.0 states/eV/cell